The following is a PBE+U calculation of MnTl3F after structural relaxation, from Alexandria via LeMat-Bulk.

The structure in extended XYZ format:
```
5
Lattice="5.2079 0.0000 0.0000 0.0000 5.2079 0.0000 0.0000 0.0000 5.2079" Properties=species:S:1:pos:R:3 pbc="T T T"
Mn 0.0000 0.0000 0.0000
Tl 0.0000 2.6040 2.6040
Tl 2.6040 0.0000 2.6040
Tl 2.6040 2.6040 0.0000
F 2.6040 2.6040 2.6040
```

Summary:
- energy relative to the lowest polymorph listed for this composition (kJ per mole of atoms) = 0.0
- energy (eV/atom) = -3.569
- total magnetic moment (Bohr magnetons per cell) = 4.77